# 1
The following is a PBE-GGA calculation of crystalline CuIrS2N at its relaxed geometry, from Alexandria via LeMat-Bulk.

Summary:
Uncorrected formation energy = 1.370 eV/atom

a = 4.612 Å, b = 4.612 Å, c = 3.449 Å
α = 90.00°, β = 90.00°, γ = 90.00°
Space group P4/mmm (No. 123)
Symmetry-distinct sites (fractional):
Cu1 0.000 0.000 0.000
Ir1 0.500 0.500 0.500
S1 0.000 0.500 0.000
N1 0.000 0.000 0.500

=====

# 2
The following is a PBE-GGA calculation of crystalline RbAg4Cl8 at its relaxed geometry, from Alexandria via LeMat-Bulk.

Summary:
Uncorrected formation energy = -0.564 eV/atom

a = 7.8180 Å, b = 7.8180 Å, c = 23.6081 Å
α = 90.00°, β = 90.00°, γ = 120.00°
Space group R-3m (No. 166, hexagonal axes)
Symmetry-distinct sites (fractional):
Rb1 0.0000 0.0000 0.0000
Ag1 0.0000 0.0000 0.5000
Ag2 0.0000 0.5000 0.5000
Cl1 0.0000 0.0000 0.2248
Cl2 0.0023 0.5011 0.7727

=====

# 3
The following is a PBE-GGA calculation of crystalline La2AlNi4Ge3 at its relaxed geometry, from Alexandria via LeMat-Bulk.

Summary:
Calculated formation energy = -0.6938 eV/atom

a = 4.192 Å, b = 4.192 Å, c = 9.899 Å
α = 90.00°, β = 90.00°, γ = 90.00°
Space group P-4m2 (No. 115)
Symmetry-distinct sites (fractional):
La1 0.000 0.500 0.246
Al1 0.000 0.000 0.500
Ni1 0.000 0.000 0.000
Ni2 0.000 0.500 0.631
Ni3 0.500 0.500 0.000
Ge1 0.000 0.500 0.876
Ge2 0.500 0.500 0.500

=====

# 4
The following is a PBE-GGA calculation of crystalline MnInTc2As at its relaxed geometry, from Alexandria via LeMat-Bulk.

Summary:
Calculated formation energy = 2.2683 eV/atom

a = 4.984 Å, b = 4.984 Å, c = 4.708 Å
α = 90.00°, β = 90.00°, γ = 90.00°
Space group P4/mmm (No. 123)
Symmetry-distinct sites (fractional):
Mn1 0.000 0.000 0.000
In1 0.000 0.000 0.500
Tc1 0.000 0.500 0.500
As1 0.500 0.500 0.000

=====

# 5
The following is a PBE-GGA calculation of crystalline LuNbO4 at its relaxed geometry, from Alexandria via LeMat-Bulk.

Summary:
Uncorrected formation energy = -3.121 eV/atom

a = 5.170 Å, b = 5.170 Å, c = 10.893 Å
α = 90.00°, β = 90.00°, γ = 90.00°
Space group I4_1/a (No. 88, origin choice 2)
Symmetry-distinct sites (fractional):
Lu1 0.000 0.250 0.125
Nb1 0.000 0.250 0.625
O1 0.184 0.494 0.284

=====

# 6
The following is a PBE-GGA calculation of crystalline SrSbIr2 at its relaxed geometry, from Alexandria via LeMat-Bulk.

Summary:
Uncorrected formation energy = 0.363 eV/atom

a = 6.241 Å, b = 9.632 Å, c = 3.019 Å
α = 90.00°, β = 118.01°, γ = 90.00°
Space group C2/m (No. 12)
Symmetry-distinct sites (fractional):
Sr1 0.000 0.000 0.000
Sb1 0.000 0.500 0.000
Ir1 0.250 0.250 0.500

=====

Which formula does entry 2 have?
RbAg4Cl8